# PBE-GGA RbThTe2Br, relaxed
# ΔE_f (raw)	-1.397	eV per atom
# energy	-4.67	eV per atom
# spin magnetization	0.000	μB per formula unit
data_RbThTe2Br
_chemical_formula_sum 'Rb2 Th2 Te4 Br2'
_cell_length_a 9.849
_cell_length_b 4.592
_cell_length_c 10.070
_cell_angle_alpha 90.00
_cell_angle_beta 104.67
_cell_angle_gamma 90.00
_symmetry_space_group_name_H-M 'P 1 21/m 1'
_symmetry_Int_Tables_number 11
_symmetry_space_group_name_Hall '-P 2yb'
loop_
_atom_site_label
_atom_site_fract_x
_atom_site_fract_y
_atom_site_fract_z
Rb1 0.240 0.250 0.318
Th1 0.334 0.250 0.826
Te1 0.334 0.750 0.047
Te2 0.360 0.750 0.629
Br1 0.036 0.250 0.758